No. 1
Density functional theory data (PBE-GGA) for a relaxed structure of RbZn2H.

abc: 6.412 6.412 6.412
angles: 60.00 60.00 60.00
Atoms (fractional coordinates):
Rb1 0.125 0.125 0.125
Rb2 0.875 0.875 0.875
Zn1 0.000 0.500 0.500
Zn2 0.500 0.000 0.500
Zn3 0.500 0.500 0.000
Zn4 0.500 0.500 0.500
H1 0.375 0.375 0.375
H2 0.625 0.625 0.625

Output
Calculated total energy = -1.39 eV per atom
Distance to the lowest polymorph of the same formula = 0 meV per atom
Symmetry = No. 227
Size of the total moment = 0.00 μB/f.u.

No. 2
Density functional theory data (PBE-GGA) for a relaxed structure of RbZnH3.

abc: 3.246 7.125 7.154
angles: 90.00 90.00 90.00
Atoms (fractional coordinates):
Rb1 0.250 0.250 0.202
Rb2 0.750 0.750 0.798
Zn1 0.250 0.250 0.706
Zn2 0.750 0.750 0.294
H1 0.250 0.056 0.822
H2 0.250 0.444 0.822
H3 0.250 0.750 0.425
H4 0.750 0.250 0.575
H5 0.750 0.556 0.178
H6 0.750 0.944 0.178

Output
Calculated total energy = -2.52 eV per atom
Distance to the lowest polymorph of the same formula = 113 meV per atom
Symmetry = No. 59
Size of the total moment = 0.00 μB/f.u.

No. 3
Density functional theory data (PBE-GGA) for a relaxed structure of Rb2ZnH2.

abc: 7.035 7.035 7.035
angles: 135.61 135.61 64.58
Atoms (fractional coordinates):
Rb1 0.176 0.176 0.000
Rb2 0.824 0.824 0.000
Zn1 0.500 0.500 0.000
H1 0.250 0.750 0.500
H2 0.750 0.250 0.500

Output
Calculated total energy = -1.84 eV per atom
Distance to the lowest polymorph of the same formula = 49 meV per atom
Symmetry = No. 139
Size of the total moment = 0.00 μB/f.u.